# Er5PuIr6

Er5PuIr6 after structural relaxation (PBE, Alexandria).

a b c (Å): 4.7214 7.0662 7.4725
angles (deg): 90.00 71.58 90.00
Last column: magnetic moment on the atom in μB.
Element x y z (fractional)
Ir 0.5000 0.7498 0.0000  -0.11
Ir 0.1658 0.2509 0.6685  -0.07
Ir 0.1658 0.7491 0.6685  -0.07
Ir 0.5000 0.2502 0.0000  -0.11
Ir 0.8342 0.7491 0.3315  -0.07
Ir 0.8342 0.2509 0.3315  -0.07
Pu 0.0000 0.0000 0.0000  4.73
Er 0.3326 0.0000 0.3348  0.03
Er 0.0000 0.5000 0.0000  0.02
Er 0.6671 0.5000 0.6658  0.04
Er 0.3329 0.5000 0.3342  0.04
Er 0.6674 0.0000 0.6652  0.03

- SG = Cmmm
- energy (eV per atom) = -8.311
- energy of formation from the pure elements (eV per atom) = -0.79
- crystal system = orthorhombic